No. 1
An optimized crystal structure of LiHgBiPt. Source: Alexandria via LeMat-Bulk, functional PBE-GGA.

Its electronic total energy is -3.27 eV/atom.

The space group is F-43m (No. 216) and the conventional cell measures 6.841, 6.841 and 6.841 Å, with angles of 90.00, 90.00 and 90.00 degrees. Symmetry generates all atoms from Li at (0.000, 0.000, 0.000), Hg at (0.250, 0.250, 0.750), Bi at (0.250, 0.250, 0.250) and Pt at (0.000, 0.000, 0.500).

No. 2
An optimized crystal structure of LiPuHgBi. Source: Alexandria via LeMat-Bulk, functional PBE-GGA.

Its electronic total energy is -5.45 eV/atom.

The space group is F-43m (No. 216) and the conventional cell measures 7.460, 7.460 and 7.460 Å, with angles of 90.00, 90.00 and 90.00 degrees. Symmetry generates all atoms from Li at (0.000, 0.000, 0.000), Pu at (0.000, 0.000, 0.500), Hg at (0.250, 0.250, 0.750) and Bi at (0.250, 0.250, 0.250).

No. 3
An optimized crystal structure of Li2PuHg2Bi2. Source: Alexandria via LeMat-Bulk, functional PBE-GGA.

Its electronic total energy is -4.03 eV/atom.

The space group is R-3m (No. 166, hexagonal axes) and the conventional cell measures 4.8831, 4.8831 and 25.9861 Å, with angles of 90.00, 90.00 and 120.00 degrees. Symmetry generates all atoms from Li at (0.0000, 0.0000, 0.1409), Pu at (0.0000, 0.0000, 0.0000), Hg at (0.0000, 0.0000, 0.4454) and Bi at (0.0000, 0.0000, 0.2671).

No. 4
An optimized crystal structure of Li2PuHgBi2. Source: Alexandria via LeMat-Bulk, functional PBE-GGA.

Its electronic total energy is -4.74 eV/atom.

The space group is P-3m1 (No. 164) and the conventional cell measures 4.9130, 4.9130 and 7.0925 Å, with angles of 90.00, 90.00 and 120.00 degrees. Symmetry generates all atoms from Li at (0.3333, 0.6667, 0.1498), Pu at (0.0000, 0.0000, 0.5000), Hg at (0.0000, 0.0000, 0.0000) and Bi at (0.3333, 0.6667, 0.7159).

No. 5
An optimized crystal structure of RbLiHgBi. Source: Alexandria via LeMat-Bulk, functional PBE-GGA.

Its electronic total energy is -1.94 eV/atom.

The space group is F-43m (No. 216) and the conventional cell measures 7.902, 7.902 and 7.902 Å, with angles of 90.00, 90.00 and 90.00 degrees. Symmetry generates all atoms from Rb at (0.000, 0.000, 0.000), Li at (0.250, 0.250, 0.750), Hg at (0.250, 0.250, 0.250) and Bi at (0.000, 0.000, 0.500).

No. 6
An optimized crystal structure of LiHgBiRh. Source: Alexandria via LeMat-Bulk, functional PBE-GGA.

Its electronic total energy is -3.55 eV/atom.

The space group is F-43m (No. 216) and the conventional cell measures 6.725, 6.725 and 6.725 Å, with angles of 90.00, 90.00 and 90.00 degrees. Symmetry generates all atoms from Li at (0.000, 0.000, 0.000), Hg at (0.250, 0.250, 0.750), Bi at (0.250, 0.250, 0.250) and Rh at (0.000, 0.000, 0.500).

No. 7
An optimized crystal structure of LiHgBiSb2. Source: Alexandria via LeMat-Bulk, functional PBE-GGA.

Its electronic total energy is -2.37 eV/atom. Its uncorrected formation energy is 2.5 eV/f.u.

The space group is P4/mmm (No. 123) and the conventional cell measures 5.928, 5.928 and 5.811 Å, with angles of 90.00, 90.00 and 90.00 degrees. Symmetry generates all atoms from Li at (0.000, 0.000, 0.000), Hg at (0.500, 0.500, 0.000), Bi at (0.500, 0.500, 0.500) and Sb at (0.000, 0.500, 0.500).

No. 8
An optimized crystal structure of LiHgBiSb. Source: Alexandria via LeMat-Bulk, functional PBE-GGA.

Its electronic total energy is -2.61 eV/atom. Its uncorrected formation energy is -0.2 eV/f.u. The value obtained for the energy above the most stable polymorph in this dataset is 89.2 meV per atom.

The space group is F-43m (No. 216) and the conventional cell measures 7.544, 7.544 and 7.544 Å, with angles of 90.00, 90.00 and 90.00 degrees. Symmetry generates all atoms from Li at (0.000, 0.000, 0.000), Hg at (0.250, 0.250, 0.750), Bi at (0.000, 0.000, 0.500) and Sb at (0.250, 0.250, 0.250).

Q: Which value of electronic total energy does entry 1 give?
A: -3.27 eV/atom